ZnCoSiO2 | Alexandria | GGA+U | relaxed; mass density = 4.59 g/cm3; raw total energy = -0.160 Ha/atom; total moment = 0.591 μB/atom; D(E_F) = 1.46 states/eV/cell; V = 66.7 Å³ per cell
1.0
-1.5126 2.5229 -2.1339
-4.3851 -0.5629 2.4428
0.9824 2.5840 2.3588
Zn O Si Co
1 2 1 1
Direct
0.5000 0.5000 0.5000
0.0000 0.0000 0.5000
0.5000 0.0000 0.0000
0.0000 0.5000 0.0000
0.0000 0.0000 0.0000